[1]
Material: Nb2O5
Method: DFT, SCAN
State: single point on PBEsol structure Values from VASP.

```
&SYSTEM
  ibrav = 0, nat = 14, ntyp = 2
/
ATOMIC_SPECIES
O 16.00 O.upf
Nb 92.91 Nb.upf
CELL_PARAMETERS angstrom
4.9187 0.0000 0.0000
0.0000 5.5992 -0.0366
-2.4594 -1.5738 6.2506
ATOMIC_POSITIONS crystal
O 0.7230 0.3728 0.5878
O 0.2770 0.6272 0.4122
O 0.6612 0.4751 0.2203
O 0.1026 0.2500 0.0000
O 0.3388 0.5249 0.7797
O 0.4409 0.0249 0.7797
O 0.8974 0.7500 0.0000
O 0.5591 0.9751 0.2203
O 0.1351 0.1272 0.4122
O 0.8649 0.8728 0.5878
Nb 0.8998 0.7537 0.2810
Nb 0.6188 0.7463 0.7190
Nb 0.1002 0.2463 0.7190
Nb 0.3812 0.2537 0.2810
```

Calculated values
SG: C2/c (15)
Energy: -16.65 eV/atom
Volume: 12.28 Å³/atom
Energy relative to the elements, uncorrected: -2.732 eV/atom
Energy relative to the lowest polymorph listed for this composition: 0.000 eV per atom
Total magnetization: 0.00 μB/cell

---

[2]
Material: RbScAs2O7
Method: DFT, SCAN
State: single point on PBEsol structure Values from VASP.

```
&SYSTEM
  ibrav = 0, nat = 44, ntyp = 4
/
ATOMIC_SPECIES
O 16.00 O.upf
Sc 44.96 Sc.upf
As 74.92 As.upf
Rb 85.47 Rb.upf
CELL_PARAMETERS angstrom
7.8352 -0.0212 0.0000
-2.5194 8.4646 0.0000
0.0000 0.0000 10.6893
ATOMIC_POSITIONS crystal
O 0.9999 0.7801 0.4872
O 0.3546 0.3254 0.4496
O 0.1449 0.0267 0.0893
O 0.3495 0.2792 0.9185
O 0.4547 0.2558 0.2104
O 0.0851 0.7544 0.2362
O 0.3041 0.5122 0.1090
O 0.3495 0.7792 0.5815
O 0.8551 0.9733 0.9107
O 0.5453 0.2442 0.7104
O 0.8551 0.4733 0.5893
O 0.9149 0.7456 0.7362
O 0.9999 0.2801 0.0128
O 0.0001 0.2199 0.5128
O 0.3041 0.0122 0.3910
O 0.6454 0.1746 0.9496
O 0.6505 0.2208 0.4185
O 0.4547 0.7558 0.2896
O 0.0851 0.2544 0.2638
O 0.9149 0.2456 0.7638
O 0.6959 0.4878 0.8910
O 0.6454 0.6746 0.5504
O 0.6959 0.9878 0.6090
O 0.1449 0.5267 0.4107
O 0.6505 0.7208 0.0815
O 0.3546 0.8254 0.0504
O 0.5453 0.7442 0.7896
O 0.0001 0.7199 0.9872
Sc 0.7642 0.2336 0.5992
Sc 0.7642 0.7336 0.9008
Sc 0.2358 0.2664 0.0992
Sc 0.2358 0.7664 0.4008
As 0.1380 0.3361 0.4072
As 0.8620 0.6639 0.5928
As 0.1380 0.8361 0.0928
As 0.4431 0.1931 0.3608
As 0.5569 0.8069 0.6392
As 0.8620 0.1639 0.9072
As 0.4431 0.6931 0.1392
As 0.5569 0.3069 0.8608
Rb 0.1677 0.5496 0.8240
Rb 0.1677 0.0496 0.6760
Rb 0.8323 0.9504 0.3240
Rb 0.8323 0.4504 0.1760
```

Calculated values
SG: P2_1/c (14)
Energy: -12.96 eV/atom
Volume: 16.10 Å³/atom
Energy relative to the elements, uncorrected: -2.145 eV/atom
Total magnetization: 0.00 μB/cell

---

[3]
Material: CrIn2Tc
Method: DFT, SCAN
State: single point on PBEsol structure Values from VASP.

```
&SYSTEM
  ibrav = 0, nat = 4, ntyp = 3
/
ATOMIC_SPECIES
In 114.82 In.upf
Tc 98.00 Tc.upf
Cr 52.00 Cr.upf
CELL_PARAMETERS angstrom
-3.3775 -1.1497 1.8023
1.1851 -3.8117 -0.2106
2.9874 2.8595 2.9898
ATOMIC_POSITIONS crystal
In 0.0000 0.0000 0.0000
In 0.7500 0.2500 0.5000
Tc 0.5000 0.5000 0.0000
Cr 0.2500 0.7500 0.5000
```

Calculated values
Formation energy from the elements: 105 kJ/mol of formula units
SG: I-4m2 (119)
Energy: -29.78 eV/atom
Volume: 16.97 Å³/atom
Energy relative to the lowest polymorph listed for this composition: 0.089 eV per atom
Total magnetization: 3.11 μB/cell

---

[4]
Material: CoTc2
Method: DFT, SCAN
State: single point on PBEsol structure Values from VASP.

```
&SYSTEM
  ibrav = 0, nat = 6, ntyp = 2
/
ATOMIC_SPECIES
Tc 98.00 Tc.upf
Co 58.93 Co.upf
CELL_PARAMETERS angstrom
-1.9455 1.6601 0.6262
-1.9952 -3.2196 -3.1994
-0.6354 -2.8119 5.4799
ATOMIC_POSITIONS crystal
Tc 0.6844 0.3689 0.1354
Tc 0.3645 0.7289 0.4742
Tc 0.6355 0.2711 0.5258
Tc 0.3156 0.6311 0.8646
Co 0.0296 0.0592 0.8087
Co 0.9704 0.9408 0.1913
```

Calculated values
Formation energy from the elements: 28 kJ/mol of formula units
SG: C2/m (12)
Energy: -29.05 eV/atom
Volume: 12.60 Å³/atom
Energy relative to the lowest polymorph listed for this composition: 0.046 eV per atom
Total magnetization: 1.57 μB/cell

---

[5]
Material: CsLi3Ni
Method: DFT, SCAN
State: single point on PBEsol structure Values from VASP.

```
&SYSTEM
  ibrav = 0, nat = 5, ntyp = 3
/
ATOMIC_SPECIES
Ni 58.69 Ni.upf
Cs 132.91 Cs.upf
Li 6.94 Li.upf
CELL_PARAMETERS angstrom
-3.0496 -4.0011 -0.3590
0.3705 -0.7289 4.9768
-4.0001 2.9828 0.7346
ATOMIC_POSITIONS crystal
Ni 0.0000 0.0000 0.0000
Cs 0.5000 0.5000 0.5000
Li 0.0000 0.5000 0.0000
Li 0.0000 0.0000 0.5000
Li 0.5000 0.0000 0.0000
```

Calculated values
Formation energy from the elements: 198 kJ/mol of formula units
SG: Pm-3m (221)
Energy: -11.82 eV/atom
Volume: 25.66 Å³/atom
Total magnetization: 0.00 μB/cell

---

[6]
Material: Al8Zn
Method: DFT, SCAN
State: single point on PBEsol structure Values from VASP.

```
&SYSTEM
  ibrav = 0, nat = 9, ntyp = 2
/
ATOMIC_SPECIES
Al 26.98 Al.upf
Zn 65.41 Zn.upf
CELL_PARAMETERS angstrom
3.9726 0.0000 0.0000
1.9863 6.0171 0.0000
1.9863 0.0000 6.0171
ATOMIC_POSITIONS crystal
Al 0.6656 0.0000 0.6688
Al 0.6678 0.3322 0.3322
Al 0.0000 0.6678 0.3322
Al 0.3322 0.6678 0.6678
Al 0.3344 0.3312 0.0000
Al 0.3344 0.0000 0.3312
Al 0.6656 0.6688 0.0000
Al 0.0000 0.3322 0.6678
Zn 0.0000 0.0000 0.0000
```

Calculated values
Formation energy from the elements: 1 kJ/mol of formula units
SG: I4/mmm (139)
Energy: -8.39 eV/atom
Volume: 15.98 Å³/atom
Total magnetization: 0.05 μB/cell

---

[7]
Material: MnZnAs2
Method: DFT, SCAN
State: single point on PBEsol structure Values from VASP.

```
&SYSTEM
  ibrav = 0, nat = 4, ntyp = 3
/
ATOMIC_SPECIES
Zn 65.41 Zn.upf
As 74.92 As.upf
Mn 54.94 Mn.upf
CELL_PARAMETERS angstrom
-0.4568 2.3510 -2.2599
-2.6221 1.0920 1.6659
3.3150 3.4720 2.9419
ATOMIC_POSITIONS crystal
Zn 0.5000 0.5000 0.5000
As 0.0000 0.0000 0.2277
As 0.0000 0.0000 0.7723
Mn 0.5000 0.5000 0.0000
```

Calculated values
Formation energy from the elements: -2 kJ/mol of formula units
SG: P4/mmm (123)
Energy: -18.04 eV/atom
Volume: 15.26 Å³/atom
Total magnetization: 2.99 μB/cell

---

[8]
Material: KZnMo3
Method: DFT, SCAN
State: single point on PBEsol structure Values from VASP.

```
&SYSTEM
  ibrav = 0, nat = 5, ntyp = 3
/
ATOMIC_SPECIES
K 39.10 K.upf
Zn 65.41 Zn.upf
Mo 95.94 Mo.upf
CELL_PARAMETERS angstrom
-4.6300 -0.5323 0.6838
-0.6317 -0.4712 -4.6441
0.5932 -4.6565 0.3918
ATOMIC_POSITIONS crystal
K 0.5000 0.5000 0.5000
Zn 0.0000 0.0000 0.0000
Mo 0.5000 0.0000 0.0000
Mo 0.0000 0.0000 0.5000
Mo 0.0000 0.5000 0.0000
```

Calculated values
Formation energy from the elements: 1073 kJ/mol of formula units
SG: Pm-3m (221)
Energy: -23.08 eV/atom
Volume: 20.90 Å³/atom
Total magnetization: 0.00 μB/cell

---

[9]
Material: ZnCuNi
Method: DFT, SCAN
State: single point on PBEsol structure Values from VASP.

```
&SYSTEM
  ibrav = 0, nat = 3, ntyp = 3
/
ATOMIC_SPECIES
Zn 65.41 Zn.upf
Ni 58.69 Ni.upf
Cu 63.55 Cu.upf
CELL_PARAMETERS angstrom
2.5080 0.0000 0.0000
0.0000 3.9850 0.0000
0.0000 -1.9925 3.4511
ATOMIC_POSITIONS crystal
Zn 0.3252 0.3333 0.6667
Ni 0.6660 0.6667 0.3333
Cu 0.0089 0.0000 0.0000
```

Calculated values
Formation energy from the elements: -16 kJ/mol of formula units
SG: P3m1 (156)
Energy: -15.02 eV/atom
Volume: 11.50 Å³/atom
Energy relative to the lowest polymorph listed for this composition: 0.039 eV per atom
Total magnetization: 0.00 μB/cell

---

[10]
Material: Fe2CuAgPd
Method: DFT, SCAN
State: single point on PBEsol structure Values from VASP.

```
&SYSTEM
  ibrav = 0, nat = 5, ntyp = 4
/
ATOMIC_SPECIES
Pd 106.42 Pd.upf
Ag 107.87 Ag.upf
Cu 63.55 Cu.upf
Fe 55.84 Fe.upf
CELL_PARAMETERS angstrom
-3.5293 0.7340 2.7825
0.3710 -4.2504 1.5918
3.0238 1.5474 3.4272
ATOMIC_POSITIONS crystal
Pd 0.0000 0.0000 0.5000
Ag 0.0000 0.0000 0.0000
Cu 0.5000 0.5000 0.5000
Fe 0.5000 0.0000 0.0000
Fe 0.0000 0.5000 0.0000
```

Calculated values
Formation energy from the elements: 759 kJ/mol of formula units
SG: P4/mmm (123)
Energy: -21.55 eV/atom
Volume: 20.01 Å³/atom
Total magnetization: 6.73 μB/cell

---

[11]
Material: La2AlSi
Method: DFT, SCAN
State: single point on PBEsol structure Values from VASP.

```
&SYSTEM
  ibrav = 0, nat = 4, ntyp = 3
/
ATOMIC_SPECIES
La 138.91 La.upf
Si 28.09 Si.upf
Al 26.98 Al.upf
CELL_PARAMETERS angstrom
-0.6410 -1.4297 3.0382
3.9967 -3.5945 -0.8482
2.6638 4.0524 2.4690
ATOMIC_POSITIONS crystal
La 0.0000 0.0000 0.5000
La 0.0000 0.5000 0.0000
Si 0.5000 0.0000 0.0000
Al 0.5000 0.5000 0.5000
```

Calculated values
SG: Cmmm (65)
Energy: -26.42 eV/atom
Volume: 24.78 Å³/atom
Energy relative to the elements, uncorrected: -0.421 eV/atom
Total magnetization: 0.00 μB/cell

---

[12]
Material: Tl4HgCl
Method: DFT, SCAN
State: single point on PBEsol structure Values from VASP.

```
&SYSTEM
  ibrav = 0, nat = 6, ntyp = 3
/
ATOMIC_SPECIES
Tl 204.38 Tl.upf
Hg 200.59 Hg.upf
Cl 35.45 Cl.upf
CELL_PARAMETERS angstrom
6.2658 0.0000 0.0000
3.1329 5.4264 0.0000
3.1329 1.8088 5.1160
ATOMIC_POSITIONS crystal
Tl 0.3750 0.3750 0.8751
Tl 0.3750 0.8751 0.3750
Tl 0.3750 0.3750 0.3750
Tl 0.8751 0.3750 0.3750
Hg 0.0000 0.0000 0.0000
Cl 0.7500 0.7500 0.7500
```

Calculated values
SG: F-43m (216)
Energy: -61.05 eV/atom
Volume: 28.99 Å³/atom
Energy relative to the elements, uncorrected: -0.118 eV/atom
Total magnetization: 0.00 μB/cell

---

Question: Among the records above, which one has the lowest volume?
Answer: ZnCuNi

---

Repeat the third record exactly.
Material: CrIn2Tc
Method: DFT, SCAN
State: single point on PBEsol structure Values from VASP.

```
&SYSTEM
  ibrav = 0, nat = 4, ntyp = 3
/
ATOMIC_SPECIES
In 114.82 In.upf
Tc 98.00 Tc.upf
Cr 52.00 Cr.upf
CELL_PARAMETERS angstrom
-3.3775 -1.1497 1.8023
1.1851 -3.8117 -0.2106
2.9874 2.8595 2.9898
ATOMIC_POSITIONS crystal
In 0.0000 0.0000 0.0000
In 0.7500 0.2500 0.5000
Tc 0.5000 0.5000 0.0000
Cr 0.2500 0.7500 0.5000
```

Calculated values
Formation energy from the elements: 105 kJ/mol of formula units
SG: I-4m2 (119)
Energy: -29.78 eV/atom
Volume: 16.97 Å³/atom
Energy relative to the lowest polymorph listed for this composition: 0.089 eV per atom
Total magnetization: 3.11 μB/cell

---

Question: volume of number 11 (La2AlSi)?
Answer: 24.78 Å³/atom